Density functional theory data (PBE) for a geometry-optimized Fe2SiAu structure.

```
Fe2SiAu
1.0
3.702 0.000 0.000
0.000 2.715 0.007
0.000 1.951 5.338
Si Au Fe
1 1 2
Direct
0.500 0.250 0.250
0.500 0.750 0.750
0.000 0.038 0.041
0.000 0.462 0.459
```

Computed properties:
For the raw total energy, the calculation gives -6.409 eV per atom. The value obtained for the spin magnetization is 1.04 μB per atom. Its mass density is 10.43 g/cm3.


Density functional theory data (PBE) for a geometry-optimized FeSiAu3 structure.

```
FeSiAu3
1.0
-4.377 0.780 1.835
0.996 -2.981 3.641
1.728 3.694 2.551
Au Fe Si
3 1 1
Direct
0.500 0.000 0.000
0.000 0.000 0.500
0.000 0.500 0.000
0.000 0.000 0.000
0.500 0.500 0.500
```

Computed properties:
For the raw total energy, the calculation gives -3.790 eV per atom. The distance to the lowest polymorph of the same formula comes out at 1.508 eV/f.u. The value obtained for the spin magnetization is 0.61 μB per atom. Its mass density is 10.07 g/cm3.


Density functional theory data (PBE) for a geometry-optimized FeSiAu2 structure.

```
FeSiAu2
1.0
-3.350 -2.147 -0.982
-1.957 -3.413 1.148
-3.835 2.321 3.889
Au Fe Si
2 1 1
Direct
0.989 0.989 0.034
0.758 0.758 0.715
0.510 0.510 0.437
0.243 0.243 0.313
```

Computed properties:
For the raw total energy, the calculation gives -4.995 eV per atom. The value obtained for the spin magnetization is 0.39 μB per atom. Its mass density is 12.43 g/cm3.


Density functional theory data (PBE) for a geometry-optimized Fe2SiAu structure.

```
Fe2SiAu
1.0
4.782 0.009 -0.002
1.879 4.397 0.002
-2.991 -2.717 2.557
Fe Si Au
2 1 1
Direct
0.979 0.979 0.000
0.521 0.521 0.000
0.750 0.250 0.500
0.250 0.750 0.500
```

Computed properties:
For the raw total energy, the calculation gives -6.376 eV per atom. The value obtained for the spin magnetization is 1.15 μB per atom. Its mass density is 10.41 g/cm3.


Density functional theory data (PBE) for a geometry-optimized FeSiAu2 structure.

```
FeSiAu2
1.0
-3.192 -2.186 -3.490
1.331 -4.684 -1.856
-1.114 2.721 4.302
Au Fe Si
2 1 1
Direct
0.744 0.244 0.500
0.033 0.033 0.000
0.459 0.459 0.000
0.265 0.765 0.500
```

Computed properties:
For the raw total energy, the calculation gives -4.964 eV per atom. The value obtained for the spin magnetization is 0.54 μB per atom. Its mass density is 12.85 g/cm3.


Density functional theory data (PBE) for a geometry-optimized Fe2Si2Au structure.

```
Fe2Si2Au
1.0
6.801 0.000 0.000
0.000 6.801 0.000
0.000 0.000 2.701
Si Au Fe
4 2 4
Direct
0.859 0.641 0.000
0.141 0.359 0.000
0.359 0.859 0.000
0.641 0.141 0.000
0.000 0.000 0.000
0.500 0.500 0.000
0.350 0.150 0.500
0.850 0.350 0.500
0.150 0.650 0.500
0.650 0.850 0.500
```

Computed properties:
For the raw total energy, the calculation gives -6.389 eV per atom. The distance to the lowest polymorph of the same formula comes out at 0.000 eV/f.u. The value obtained for the spin magnetization is 0.24 μB per atom. Its mass density is 9.70 g/cm3.


Density functional theory data (PBE) for a geometry-optimized FeSiAu2 structure.

```
FeSiAu2
1.0
4.479 0.000 0.000
2.240 3.879 0.000
2.240 1.293 3.657
Si Au Fe
1 2 1
Direct
0.750 0.750 0.750
0.000 0.000 0.000
0.250 0.250 0.250
0.500 0.500 0.500
```

Computed properties:
For the raw total energy, the calculation gives -4.857 eV per atom. The value obtained for the spin magnetization is 0.65 μB per atom. Its mass density is 12.49 g/cm3.


Density functional theory data (PBE) for a geometry-optimized FeSi3Au structure.

```
FeSi3Au
1.0
-1.329 -3.569 2.154
2.727 -2.455 -2.385
3.153 0.618 2.970
Si Au Fe
3 1 1
Direct
0.000 0.000 0.500
0.000 0.500 0.000
0.500 0.000 0.000
0.500 0.500 0.500
0.000 0.000 0.000
```

Computed properties:
For the raw total energy, the calculation gives -5.347 eV per atom. The distance to the lowest polymorph of the same formula comes out at 0.000 eV/f.u. The value obtained for the spin magnetization is 0.00 μB per atom. Its mass density is 6.68 g/cm3.